BaZr2Mn | GGA-PBE | optimized geometry

**DFT formation energy**: 0.74 eV/atom
**Total magnetization**: 3.2 μB/f.u.
**DOS(E_F)**: 5.6 states/eV per cell
**E above lowest polymorph**: 447 meV/atom
**SG**: C2/m, No. 12

Lattice parameters (Å, degrees): 6.5236 6.5236 3.2218 103.71 103.71 121.70
Positions (direct):
Ba1 0.0000 0.0000 0.0000
Zr1 0.0000 0.5000 0.5000
Zr2 0.5000 0.0000 0.5000
Mn1 0.5000 0.5000 0.0000